# SCAN Dy2Nb3Ge4, PBEsol geometry
data_Dy2Nb3Ge4
_chemical_formula_sum 'Dy8 Nb12 Ge16'
_space_group_name_H-M_alt 'P n m a'
_space_group_IT_number 62
_space_group_name_Hall '-P 2ac 2n'
_cell_length_a 6.9338
_cell_length_b 13.4229
_cell_length_c 7.1085
_cell_angle_alpha 90.00
_cell_angle_beta 90.00
_cell_angle_gamma 90.00
loop_
_atom_site_label
_atom_site_fract_x
_atom_site_fract_y
_atom_site_fract_z
Dy1 0.0027 0.0949 0.1735
Nb1 0.1597 0.6267 0.3286
Nb2 0.1645 0.2500 0.5119
Ge1 0.0396 0.2500 0.8798
Ge2 0.1739 0.0415 0.5384
Ge3 0.1953 0.7500 0.6385
# energy of formation from the pure elements	-7.6	eV per formula unit
# uncorrected energy	-279.0	eV per formula unit
# spin magnetization	0.000	μB/f.u.